Record 1
First-principles (GGA-PBE) data for a geometry-optimized KLa2Cd2 structure, as listed in Alexandria via LeMat-Bulk.

Lattice parameters (Å, degrees): 4.898 4.898 15.421 90.00 90.00 90.00
Positions (direct):
K 0.000 0.000 0.000
K 0.500 0.500 0.500
La 0.000 0.500 0.250
La 0.000 0.500 0.750
La 0.500 0.000 0.250
La 0.500 0.000 0.750
Cd 0.000 0.000 0.404
Cd 0.000 0.000 0.596
Cd 0.500 0.500 0.096
Cd 0.500 0.500 0.904



Record 2
First-principles (GGA-PBE) data for a geometry-optimized CsSc3Sn structure, as listed in Alexandria via LeMat-Bulk.

Lattice parameters (Å, degrees): 5.243 5.243 5.243 90.00 90.00 90.00
Positions (direct):
Cs 0.000 0.000 0.000
Sc 0.000 0.000 0.500
Sc 0.000 0.500 0.000
Sc 0.500 0.000 0.000
Sn 0.500 0.500 0.500



It is found that the formation energy from the elements values, taken in the order of the records, are 24 1274 meV per atom.
It is found that the total moment values, taken in the order of the records, are 0.000 0.000 μB per formula unit.